# 1
# Li2Cd8Ag | Alexandria via LeMat-Bulk | PBE | optimized geometry
data_Li2Cd8Ag
_chemical_formula_sum 'Li2 Cd8 Ag1'
_cell_length_a 4.6926
_cell_length_b 7.1773
_cell_length_c 7.9418
_cell_angle_alpha 63.21
_cell_angle_beta 73.41
_cell_angle_gamma 89.99
_space_group_name_H-M_alt 'P -1'
_space_group_IT_number 2
loop_
_space_group_symop_operation_xyz
'x,y,z'
'-x,-y,-z'
loop_
_atom_site_label
_atom_site_fract_x
_atom_site_fract_y
_atom_site_fract_z
Li1 0.1920 0.1937 0.1092
Cd1 0.0006 0.2020 0.4985
Cd2 0.1601 0.6612 0.1812
Cd3 0.3545 0.6407 0.7957
Cd4 0.3560 0.0634 0.7921
Ag1 0.5000 0.5000 0.5000
# Energy relative to the elements in meV per atom: -111
# Calculated volume in Å³/cell: 226.24
# N(E_F) in states/eV per cell: 3.2

---

# 2
# LiCdAg5 | Alexandria via LeMat-Bulk | PBE | optimized geometry
data_LiCdAg5
_chemical_formula_sum 'Li2 Cd2 Ag10'
_cell_length_a 5.6783
_cell_length_b 8.1510
_cell_length_c 5.9421
_cell_angle_alpha 90.00
_cell_angle_beta 90.00
_cell_angle_gamma 90.00
_space_group_name_H-M_alt 'C m m m'
_space_group_IT_number 65
_space_group_name_Hall '-C 2 2'
loop_
_atom_site_label
_atom_site_fract_x
_atom_site_fract_y
_atom_site_fract_z
Li1 0.0000 0.0000 0.0000
Cd1 0.0000 0.5000 0.5000
Ag1 0.0000 0.5000 0.0000
Ag2 0.2500 0.2500 0.2503
# Energy relative to the elements in meV per atom: -9
# Calculated volume in Å³/cell: 275.02
# N(E_F) in states/eV per cell: 3.9

---

# 3
# Li2Cd2Ag15 | Alexandria via LeMat-Bulk | PBE | optimized geometry
data_Li2Cd2Ag15
_chemical_formula_sum 'Li6 Cd6 Ag45'
_cell_length_a 9.4755
_cell_length_b 9.4755
_cell_length_c 14.5016
_cell_angle_alpha 90.00
_cell_angle_beta 90.00
_cell_angle_gamma 120.00
_space_group_name_H-M_alt 'R -3 m'
_space_group_IT_number 166
_space_group_name_Hall '-R 3 2"'
loop_
_atom_site_label
_atom_site_fract_x
_atom_site_fract_y
_atom_site_fract_z
Li1 0.0000 0.0000 0.1029
Cd1 0.0000 0.0000 0.3668
Ag1 0.0000 0.3286 0.0000
Ag2 0.0000 0.5000 0.5000
Ag3 0.0030 0.5015 0.1651
# Energy relative to the elements in meV per atom: 41
# Calculated volume in Å³/cell: 1127.58
# N(E_F) in states/eV per cell: 12.2

---

# 4
# Li6Cd8Ag | Alexandria via LeMat-Bulk | PBE | optimized geometry
data_Li6Cd8Ag
_chemical_formula_sum 'Li18 Cd24 Ag3'
_cell_length_a 7.9182
_cell_length_b 7.9182
_cell_length_c 16.8870
_cell_angle_alpha 90.00
_cell_angle_beta 90.00
_cell_angle_gamma 120.00
_space_group_name_H-M_alt 'R -3'
_space_group_IT_number 148
_space_group_name_Hall '-R 3'
loop_
_atom_site_label
_atom_site_fract_x
_atom_site_fract_y
_atom_site_fract_z
Li1 0.0039 0.6768 0.0504
Cd1 0.0000 0.0000 0.3284
Cd2 0.0016 0.6640 0.8834
Ag1 0.0000 0.0000 0.0000
# Energy relative to the elements in meV per atom: -115
# Calculated volume in Å³/cell: 916.92
# N(E_F) in states/eV per cell: 12.1

---

# 5
# Li7Cd2Ag2 | Alexandria via LeMat-Bulk | PBE | optimized geometry
data_Li7Cd2Ag2
_chemical_formula_sum 'Li14 Cd4 Ag4'
_cell_length_a 7.8313
_cell_length_b 7.7547
_cell_length_c 6.8369
_cell_angle_alpha 90.00
_cell_angle_beta 104.04
_cell_angle_gamma 90.00
_space_group_name_H-M_alt 'C 1 2/m 1'
_space_group_IT_number 12
loop_
_space_group_symop_operation_xyz
'x,y,z'
'-x,-y,-z'
'-x,y,-z'
'x,-y,z'
'x+1/2,y+1/2,z'
'-x+1/2,-y+1/2,-z'
'-x+1/2,y+1/2,-z'
'x+1/2,-y+1/2,z'
loop_
_atom_site_label
_atom_site_fract_x
_atom_site_fract_y
_atom_site_fract_z
Li1 0.0000 0.0000 0.0000
Li2 0.2002 0.2972 0.1787
Li3 0.2108 0.5000 0.5247
Cd1 0.0000 0.2017 0.5000
Ag1 0.0909 0.5000 0.8403
# Energy relative to the elements in meV per atom: -146
# Calculated volume in Å³/cell: 402.80
# N(E_F) in states/eV per cell: 7.2

---

# 6
# Li2CdAg2 | Alexandria via LeMat-Bulk | PBE | optimized geometry
data_Li2CdAg2
_chemical_formula_sum 'Li4 Cd2 Ag4'
_cell_length_a 3.8558
_cell_length_b 3.8558
_cell_length_c 12.9300
_cell_angle_alpha 90.00
_cell_angle_beta 90.00
_cell_angle_gamma 90.00
_space_group_name_H-M_alt 'I 4/m m m'
_space_group_IT_number 139
_space_group_name_Hall '-I 4 2'
loop_
_atom_site_label
_atom_site_fract_x
_atom_site_fract_y
_atom_site_fract_z
Li1 0.0000 0.5000 0.2500
Cd1 0.0000 0.0000 0.0000
Ag1 0.0000 0.0000 0.3947
# Energy relative to the elements in meV per atom: 4
# Calculated volume in Å³/cell: 192.23
# N(E_F) in states/eV per cell: 3.1

---

# 7
# Li12CdAg3 | Alexandria via LeMat-Bulk | PBE | optimized geometry
data_Li12CdAg3
_chemical_formula_sum 'Li12 Cd1 Ag3'
_cell_length_a 4.0691
_cell_length_b 4.0691
_cell_length_c 16.7038
_cell_angle_alpha 90.00
_cell_angle_beta 90.00
_cell_angle_gamma 90.00
_space_group_name_H-M_alt 'P 4/m m m'
_space_group_IT_number 123
_space_group_name_Hall '-P 4 2'
loop_
_atom_site_label
_atom_site_fract_x
_atom_site_fract_y
_atom_site_fract_z
Li1 0.0000 0.0000 0.0000
Li2 0.0000 0.0000 0.2440
Li3 0.0000 0.0000 0.5000
Li4 0.0000 0.5000 0.1222
Li5 0.0000 0.5000 0.3674
Cd1 0.5000 0.5000 0.5000
Ag1 0.5000 0.5000 0.0000
Ag2 0.5000 0.5000 0.2438
# Energy relative to the elements in meV per atom: -141
# Calculated volume in Å³/cell: 276.57
# N(E_F) in states/eV per cell: 6.8

---

# 8
# Li4Cd2Ag3 | Alexandria via LeMat-Bulk | PBE | optimized geometry
data_Li4Cd2Ag3
_chemical_formula_sum 'Li4 Cd2 Ag3'
_cell_length_a 4.2189
_cell_length_b 4.9706
_cell_length_c 8.5747
_cell_angle_alpha 75.85
_cell_angle_beta 89.75
_cell_angle_gamma 64.96
_space_group_name_H-M_alt 'P -1'
_space_group_IT_number 2
loop_
_space_group_symop_operation_xyz
'x,y,z'
'-x,-y,-z'
loop_
_atom_site_label
_atom_site_fract_x
_atom_site_fract_y
_atom_site_fract_z
Li1 0.0108 0.4770 0.3419
Li2 0.3381 0.8240 0.1121
Cd1 0.3263 0.8455 0.7791
Ag1 0.0000 0.5000 0.0000
Ag2 0.3386 0.8246 0.4414
# Energy relative to the elements in meV per atom: -217
# Calculated volume in Å³/cell: 156.96
# N(E_F) in states/eV per cell: 1.6